Record 1
A relaxed structure of Na2VAuF. Source: Alexandria via LeMat-Bulk, functional GGA+U.

a = 6.338 Å, b = 5.371 Å, c = 6.338 Å
α = 90.00°, β = 90.00°, γ = 90.00°
Site moments in Bohr magnetons follow the coordinates.
Element x y z (fractional)
Na1 0.000 0.000 0.500  0.01
Na2 0.500 0.000 0.000  0.02
F1 0.500 0.500 0.500  0.00
Au1 0.000 0.500 0.000  0.06
V1 0.000 0.000 0.000  3.13

Summary:
**Crystal system**: tetragonal
**Energy**: -2.72 eV/atom



Record 2
A relaxed structure of Na2VAuF6. Source: Alexandria via LeMat-Bulk, functional GGA+U.

a = 6.183 Å, b = 6.183 Å, c = 6.183 Å
α = 60.00°, β = 60.00°, γ = 60.00°
Site moments in Bohr magnetons follow the coordinates.
Element x y z (fractional)
Na1 0.750 0.750 0.750  0.00
Na2 0.250 0.250 0.250  0.00
V1 0.000 0.000 0.000  1.97
Au1 0.500 0.500 0.500  -0.03
F1 0.775 0.225 0.225  -0.01
F2 0.225 0.225 0.775  -0.01
F3 0.225 0.775 0.775  -0.01
F4 0.225 0.775 0.225  -0.01
F5 0.775 0.225 0.775  -0.01
F6 0.775 0.775 0.225  -0.01

Summary:
**Crystal system**: cubic
**Energy**: -4.53 eV/atom